DFT (PBE) results for crystalline K2DyCrS4 at its relaxed geometry.

Geometry as CIF:
```
data_K2DyCrS4
_chemical_formula_sum 'K2 Dy1 Cr1 S4'
_cell_length_a 6.6424
_cell_length_b 3.8751
_cell_length_c 7.6409
_cell_angle_alpha 90.00
_cell_angle_beta 107.22
_cell_angle_gamma 90.00
_space_group_name_H-M_alt 'P 1 2/m 1'
_space_group_IT_number 10
loop_
_space_group_symop_operation_xyz
'x,y,z'
'-x,-y,-z'
'-x,y,-z'
'x,-y,z'
loop_
_atom_site_label
_atom_site_fract_x
_atom_site_fract_y
_atom_site_fract_z
K1 0.0000 0.0000 0.0000
K2 0.5000 0.5000 0.0000
Dy1 0.0000 0.5000 0.5000
Cr1 0.5000 0.0000 0.5000
S1 0.2559 0.0000 0.6967
S2 0.2965 0.5000 0.3167
```

Output
Final energy (eV for the cell shown): -43.7
Energy relative to the elements, uncorrected (eV per atom): -1.348



DFT (PBE) results for crystalline La3Al9Cu2 at its relaxed geometry.

Geometry as CIF:
```
data_La3Al9Cu2
_chemical_formula_sum 'La6 Al18 Cu4'
_cell_length_a 4.4134
_cell_length_b 10.1957
_cell_length_c 12.6387
_cell_angle_alpha 90.00
_cell_angle_beta 90.00
_cell_angle_gamma 90.00
_space_group_name_H-M_alt 'I m m m'
_space_group_IT_number 71
_space_group_name_Hall '-I 2 2'
loop_
_atom_site_label
_atom_site_fract_x
_atom_site_fract_y
_atom_site_fract_z
La1 0.0000 0.0000 0.0000
La2 0.0000 0.0000 0.3151
Al1 0.0000 0.2775 0.1238
Al2 0.0000 0.3655 0.3377
Al3 0.0000 0.5000 0.0000
Cu1 0.0000 0.2201 0.5000
```

Output
Final energy (eV for the cell shown): -124.8
Formation enthalpy at 0 K (meV per atom): -411
N(E_F) (states/eV/cell): 11.67



DFT (PBE) results for crystalline YMgZn3 at its relaxed geometry.

Geometry as CIF:
```
data_YMgZn3
_chemical_formula_sum 'Y1 Mg1 Zn3'
_cell_length_a 5.5114
_cell_length_b 5.5114
_cell_length_c 5.5114
_cell_angle_alpha 90.00
_cell_angle_beta 90.00
_cell_angle_gamma 90.00
_space_group_name_H-M_alt 'P m -3 m'
_space_group_IT_number 221
_space_group_name_Hall '-P 4 2 3'
loop_
_atom_site_label
_atom_site_fract_x
_atom_site_fract_y
_atom_site_fract_z
Y1 0.0000 0.0000 0.0000
Mg1 0.5000 0.5000 0.5000
Zn1 0.0000 0.0000 0.5000
```

Output
Final energy (eV for the cell shown): -7.8
Formation enthalpy at 0 K (meV per atom): 808
N(E_F) (states/eV/cell): 6.86



DFT (PBE) results for crystalline Ba2SmGeS5 at its relaxed geometry.

Geometry as CIF:
```
data_Ba2SmGeS5
_chemical_formula_sum 'Ba8 Sm4 Ge4 S20'
_cell_length_a 4.3407
_cell_length_b 18.0582
_cell_length_c 12.8360
_cell_angle_alpha 90.00
_cell_angle_beta 90.00
_cell_angle_gamma 90.00
_space_group_name_H-M_alt 'C m c 21'
_space_group_IT_number 36
loop_
_space_group_symop_operation_xyz
'x,y,z'
'-x,-y,z+1/2'
'-x,y,z'
'x,-y,z+1/2'
'x+1/2,y+1/2,z'
'-x+1/2,-y+1/2,z+1/2'
'-x+1/2,y+1/2,z'
'x+1/2,-y+1/2,z+1/2'
loop_
_atom_site_label
_atom_site_fract_x
_atom_site_fract_y
_atom_site_fract_z
Ba1 0.0000 0.1192 0.0000
Ba2 0.0000 0.1259 0.6460
Sm1 0.0000 0.2017 0.3429
Ge1 0.0000 0.4469 0.7472
S1 0.0000 0.0386 0.3225
S2 0.0000 0.2998 0.9811
S3 0.0000 0.3204 0.6917
S4 0.0000 0.3494 0.3239
S5 0.0000 0.4991 0.0874
```

Output
Final energy (eV for the cell shown): -193.7
Energy relative to the elements, uncorrected (eV per atom): -1.622
N(E_F) (states/eV/cell): 5.31



DFT (PBE) results for crystalline TlIn2ReAs at its relaxed geometry.

Geometry as CIF:
```
data_TlIn2ReAs
_chemical_formula_sum 'Tl1 In2 Re1 As1'
_cell_length_a 5.2058
_cell_length_b 5.2058
_cell_length_c 5.6297
_cell_angle_alpha 90.00
_cell_angle_beta 90.00
_cell_angle_gamma 90.00
_space_group_name_H-M_alt 'P 4/m m m'
_space_group_IT_number 123
_space_group_name_Hall '-P 4 2'
loop_
_atom_site_label
_atom_site_fract_x
_atom_site_fract_y
_atom_site_fract_z
Tl1 0.0000 0.0000 0.0000
In1 0.0000 0.5000 0.5000
Re1 0.5000 0.5000 0.0000
As1 0.0000 0.0000 0.5000
```

Output
Final energy (eV for the cell shown): -17.6
Formation enthalpy at 0 K (meV per atom): 1470
N(E_F) (states/eV/cell): 4.91



DFT (PBE) results for crystalline RhPb5 at its relaxed geometry.

Geometry as CIF:
```
data_RhPb5
_chemical_formula_sum 'Rh2 Pb10'
_cell_length_a 12.2852
_cell_length_b 3.4380
_cell_length_c 8.5818
_cell_angle_alpha 90.00
_cell_angle_beta 112.68
_cell_angle_gamma 90.00
_space_group_name_H-M_alt 'C 1 2/m 1'
_space_group_IT_number 12
loop_
_space_group_symop_operation_xyz
'x,y,z'
'-x,-y,-z'
'-x,y,-z'
'x,-y,z'
'x+1/2,y+1/2,z'
'-x+1/2,-y+1/2,-z'
'-x+1/2,y+1/2,-z'
'x+1/2,-y+1/2,z'
loop_
_atom_site_label
_atom_site_fract_x
_atom_site_fract_y
_atom_site_fract_z
Rh1 0.0000 0.0000 0.0000
Pb1 0.0000 0.0000 0.5000
Pb2 0.1329 0.5000 0.8670
Pb3 0.1610 0.5000 0.2840
```

Output
Final energy (eV for the cell shown): -51.5
Formation enthalpy at 0 K (meV per atom): 25
N(E_F) (states/eV/cell): 9.94